No. 1
# PrY2Cd PBE optimized geometry
# * formation energy from the elements: -0.366 eV/f.u.
data_PrY2Cd
_chemical_formula_sum 'Pr3 Y6 Cd3'
_symmetry_space_group_name_H-M 'R -3 m'
_symmetry_Int_Tables_number 166
_symmetry_space_group_name_Hall '-R 3 2"'
_cell_length_a 3.6398
_cell_length_b 3.6398
_cell_length_c 32.5934
_cell_angle_alpha 90.00
_cell_angle_beta 90.00
_cell_angle_gamma 120.00
loop_
_atom_site_label
_atom_site_type_symbol
_atom_site_fract_x
_atom_site_fract_y
_atom_site_fract_z
_atom_site_occupancy
Pr1 Pr 0.0000 0.0000 0.0000 1
Y1 Y 0.0000 0.0000 0.2424 1
Cd1 Cd 0.0000 0.0000 0.5000 1

No. 2
First-principles (PBE) data for a geometry-optimized NaTa2N2 structure, as listed in Alexandria via LeMat-Bulk.

Cell and atoms, written as CIF:
```
data_NaTa2N2
_chemical_formula_sum 'Na2 Ta4 N4'
_symmetry_space_group_name_H-M 'I 4/m m m'
_symmetry_Int_Tables_number 139
_symmetry_space_group_name_Hall '-I 4 2'
_cell_length_a 3.9029
_cell_length_b 3.9029
_cell_length_c 9.1895
_cell_angle_alpha 90.00
_cell_angle_beta 90.00
_cell_angle_gamma 90.00
loop_
_atom_site_label
_atom_site_type_symbol
_atom_site_fract_x
_atom_site_fract_y
_atom_site_fract_z
_atom_site_occupancy
Na1 Na 0.0000 0.0000 0.0000 1
Ta1 Ta 0.0000 0.0000 0.3415 1
N1 N 0.0000 0.5000 0.2500 1
```

No. 3
First-principles (PBE) data for a geometry-optimized Sr8Pb2N structure, as listed in Alexandria via LeMat-Bulk.

Cell and atoms, written as CIF:
```
data_Sr8Pb2N
_chemical_formula_sum 'Sr16 Pb4 N2'
_symmetry_space_group_name_H-M 'C 1 2/m 1'
_symmetry_Int_Tables_number 12
_cell_length_a 19.4723
_cell_length_b 6.2499
_cell_length_c 7.2573
_cell_angle_alpha 90.00
_cell_angle_beta 109.94
_cell_angle_gamma 90.00
loop_
_symmetry_equiv_pos_as_xyz
'x,y,z'
'-x,-y,-z'
'-x,y,-z'
'x,-y,z'
'x+1/2,y+1/2,z'
'-x+1/2,-y+1/2,-z'
'-x+1/2,y+1/2,-z'
'x+1/2,-y+1/2,z'
loop_
_atom_site_label
_atom_site_type_symbol
_atom_site_fract_x
_atom_site_fract_y
_atom_site_fract_z
_atom_site_occupancy
Sr1 Sr 0.0185 0.0000 0.2696 1
Sr2 Sr 0.0839 0.5000 0.8518 1
Sr3 Sr 0.1229 0.5000 0.4246 1
Sr4 Sr 0.2157 0.0000 0.7711 1
Pb1 Pb 0.1861 0.0000 0.2208 1
N1 N 0.0000 0.5000 0.5000 1
```

No. 4
# Sr2ZrFe PBE optimized geometry
# * formation energy from the elements: 3.492 eV/f.u.
data_Sr2ZrFe
_chemical_formula_sum 'Sr4 Zr2 Fe2'
_symmetry_space_group_name_H-M 'C 1 2/m 1'
_symmetry_Int_Tables_number 12
_cell_length_a 6.7928
_cell_length_b 10.0464
_cell_length_c 3.4590
_cell_angle_alpha 90.00
_cell_angle_beta 90.18
_cell_angle_gamma 90.00
loop_
_symmetry_equiv_pos_as_xyz
'x,y,z'
'-x,-y,-z'
'-x,y,-z'
'x,-y,z'
'x+1/2,y+1/2,z'
'-x+1/2,-y+1/2,-z'
'-x+1/2,y+1/2,-z'
'x+1/2,-y+1/2,z'
loop_
_atom_site_label
_atom_site_type_symbol
_atom_site_fract_x
_atom_site_fract_y
_atom_site_fract_z
_atom_site_occupancy
Sr1 Sr 0.2500 0.2500 0.0000 1
Zr1 Zr 0.0000 0.0000 0.5000 1
Fe1 Fe 0.0000 0.5000 0.5000 1

No. 5
# HoSc3Sn3 PBE optimized geometry
# * formation energy from the elements: -3.624 eV/f.u.
data_HoSc3Sn3
_chemical_formula_sum 'Ho2 Sc6 Sn6'
_symmetry_space_group_name_H-M 'P 63/m'
_symmetry_Int_Tables_number 176
_symmetry_space_group_name_Hall '-P 6c'
_cell_length_a 8.6703
_cell_length_b 8.6703
_cell_length_c 5.2152
_cell_angle_alpha 90.00
_cell_angle_beta 90.00
_cell_angle_gamma 120.00
loop_
_atom_site_label
_atom_site_type_symbol
_atom_site_fract_x
_atom_site_fract_y
_atom_site_fract_z
_atom_site_occupancy
Ho1 Ho 0.3333 0.6667 0.2500 1
Sc1 Sc 0.0097 0.2324 0.2500 1
Sn1 Sn 0.0757 0.4457 0.7500 1

No. 6
# Sm3Y5Ho2 PBE optimized geometry
# * formation energy from the elements: 2.650 eV/f.u.
data_Sm3Y5Ho2
_chemical_formula_sum 'Sm12 Y20 Ho8'
_symmetry_space_group_name_H-M 'I b a m'
_symmetry_Int_Tables_number 72
_symmetry_space_group_name_Hall '-I 2 2c'
_cell_length_a 10.9810
_cell_length_b 17.8515
_cell_length_c 6.8375
_cell_angle_alpha 90.00
_cell_angle_beta 90.00
_cell_angle_gamma 90.00
loop_
_atom_site_label
_atom_site_type_symbol
_atom_site_fract_x
_atom_site_fract_y
_atom_site_fract_z
_atom_site_occupancy
Sm1 Sm 0.0000 0.0000 0.2500 1
Sm2 Sm 0.2060 0.3315 0.0000 1
Y1 Y 0.0000 0.1815 0.2500 1
Y2 Y 0.0000 0.5000 0.2500 1
Y3 Y 0.1091 0.3302 0.5000 1
Ho1 Ho 0.2355 0.0227 0.0000 1

no.,raw total energy (hartree per atom),total moment (μB per formula unit)
1,-0.174,0.0
2,-0.320,0.0
3,-0.105,0.0
4,-0.155,2.0
5,-0.206,0.0
6,-0.195,0.0